# 1
Density functional theory data (PBE-GGA) for a relaxed structure of Rb2As2Se5.

Unit cell a=5.9323 b=7.5228 c=7.8182 alpha=68.36 beta=72.25 gamma=89.10
Space group P-1 (No. 2)
Unique sites:
Rb1 0.0734 0.3242 0.3419 [2 per cell]
As1 0.3927 0.1702 0.8104 [2 per cell]
Se1 0.2293 0.8262 0.1328 [2 per cell]
Se2 0.4178 0.9141 0.6787 [2 per cell]
Se3 0.5000 0.5000 0.5000 [1 per cell]

Summary:
- Formation energy from raw total energies: -0.5018 eV/atom
- Distance to the lowest polymorph of the same formula: 0 meV per atom



# 2
Density functional theory data (PBE-GGA) for a relaxed structure of NaHg2Br6.

Unit cell a=11.8780 b=4.3484 c=15.6881 alpha=90.00 beta=126.79 gamma=90.00
Space group P2_1/c (No. 14)
Unique sites:
Na1 0.0000 0.0000 0.0000 [2 per cell]
Hg1 0.2257 0.0020 0.7630 [4 per cell]
Br1 0.0461 0.5011 0.8906 [4 per cell]
Br2 0.3081 0.0146 0.2020 [4 per cell]
Br3 0.3601 0.5944 0.4659 [4 per cell]

Summary:
- Formation energy from raw total energies: -0.5664 eV/atom
- Distance to the lowest polymorph of the same formula: 0 meV per atom



# 3
Density functional theory data (PBE-GGA) for a relaxed structure of K4RbCu3Cl12.

Unit cell a=10.2764 b=10.2764 c=10.2764 alpha=90.00 beta=90.00 gamma=90.00
Space group Im-3m (No. 229)
Unique sites:
K1 0.2500 0.2500 0.2500 [8 per cell]
Rb1 0.0000 0.0000 0.0000 [2 per cell]
Cu1 0.0000 0.0000 0.5000 [6 per cell]
Cl1 0.0000 0.0000 0.2865 [12 per cell]
Cl2 0.0000 0.2500 0.5000 [12 per cell]

Summary:
- Formation energy from raw total energies: -1.1512 eV/atom



# 4
Density functional theory data (PBE-GGA) for a relaxed structure of Sc2InTc.

Unit cell a=3.2474 b=3.2474 c=30.0398 alpha=90.00 beta=90.00 gamma=120.00
Space group R-3m (No. 166, hexagonal axes)
Unique sites:
Sc1 0.0000 0.0000 0.1031 [6 per cell]
In1 0.0000 0.0000 0.0000 [3 per cell]
Tc1 0.0000 0.0000 0.5000 [3 per cell]



# 5
Density functional theory data (PBE-GGA) for a relaxed structure of RbCd2HgIr.

Unit cell a=5.3025 b=5.3025 c=5.3761 alpha=90.00 beta=90.00 gamma=90.00
Space group P4/mmm (No. 123)
Unique sites:
Rb1 0.0000 0.0000 0.0000 [1 per cell]
Cd1 0.0000 0.5000 0.5000 [2 per cell]
Hg1 0.5000 0.5000 0.0000 [1 per cell]
Ir1 0.5000 0.5000 0.5000 [1 per cell]



# 6
Density functional theory data (PBE-GGA) for a relaxed structure of Li2MgBr2.

Unit cell a=8.1784 b=8.1784 c=3.5901 alpha=90.00 beta=90.00 gamma=90.00
Space group P4/mbm (No. 127)
Unique sites:
Li1 0.1321 0.3679 0.0000 [4 per cell]
Mg1 0.0000 0.0000 0.0000 [2 per cell]
Br1 0.1501 0.6501 0.5000 [4 per cell]

Summary:
- Formation energy from raw total energies: -0.7671 eV/atom
- Distance to the lowest polymorph of the same formula: 95 meV per atom



# 7
Density functional theory data (PBE-GGA) for a relaxed structure of FeCo2Tc.

Unit cell a=8.4494 b=2.5778 c=4.4193 alpha=90.00 beta=100.16 gamma=90.00
Space group Cm (No. 8)
Unique sites:
Fe1 0.0000 0.0000 0.0000 [2 per cell]
Co1 0.2484 0.5000 0.2319 [2 per cell]
Co2 0.4904 0.0000 0.4847 [2 per cell]
Tc1 0.2420 0.0000 0.7236 [2 per cell]

Summary:
- Distance to the lowest polymorph of the same formula: 39 meV per atom



# 8
Density functional theory data (PBE-GGA) for a relaxed structure of NaMg4In15.

Unit cell a=4.6103 b=4.6103 c=23.7496 alpha=90.00 beta=90.00 gamma=90.00
Space group P4/mmm (No. 123)
Unique sites:
Na1 0.0000 0.0000 0.0000 [1 per cell]
Mg1 0.0000 0.0000 0.1991 [2 per cell]
Mg2 0.0000 0.0000 0.3997 [2 per cell]
In1 0.0000 0.5000 0.1017 [4 per cell]
In2 0.0000 0.5000 0.2999 [4 per cell]
In3 0.0000 0.5000 0.5000 [2 per cell]
In4 0.5000 0.5000 0.0000 [1 per cell]
In5 0.5000 0.5000 0.2009 [2 per cell]
In6 0.5000 0.5000 0.4003 [2 per cell]



# 9
Density functional theory data (PBE-GGA) for a relaxed structure of Mo4Ru3.

Unit cell a=3.1867 b=3.1867 c=21.1031 alpha=90.00 beta=90.00 gamma=90.00
Space group I4/mmm (No. 139)
Unique sites:
Mo1 0.0000 0.0000 0.0740 [4 per cell]
Mo2 0.0000 0.0000 0.3527 [4 per cell]
Ru1 0.0000 0.0000 0.2085 [4 per cell]
Ru2 0.0000 0.0000 0.5000 [2 per cell]

Summary:
- Distance to the lowest polymorph of the same formula: 117 meV per atom



# 10
Density functional theory data (PBE-GGA) for a relaxed structure of ErMgScZn.

Unit cell a=3.4551 b=3.4551 c=7.6255 alpha=90.00 beta=90.00 gamma=90.00
Space group P4mm (No. 99)
Unique sites:
Er1 0.0000 0.0000 0.0000 [1 per cell]
Mg1 0.5000 0.5000 0.2941 [1 per cell]
Sc1 0.0000 0.0000 0.5580 [1 per cell]
Zn1 0.5000 0.5000 0.7581 [1 per cell]

Summary:
- Distance to the lowest polymorph of the same formula: 0 meV per atom



# 11
Density functional theory data (PBE-GGA) for a relaxed structure of Ce2ThHg2Au2.

Unit cell a=4.8526 b=4.8526 c=25.0183 alpha=90.00 beta=90.00 gamma=120.00
Space group R-3m (No. 166, hexagonal axes)
Unique sites:
Ce1 0.0000 0.0000 0.1414 [6 per cell]
Th1 0.0000 0.0000 0.0000 [3 per cell]
Hg1 0.0000 0.0000 0.2717 [6 per cell]
Au1 0.0000 0.0000 0.4306 [6 per cell]



# 12
Density functional theory data (PBE-GGA) for a relaxed structure of Nd5Cd4Pd.

Unit cell a=3.8009 b=3.8009 c=19.1250 alpha=90.00 beta=90.00 gamma=90.00
Space group P4/mmm (No. 123)
Unique sites:
Nd1 0.0000 0.0000 0.0000 [1 per cell]
Nd2 0.0000 0.0000 0.2060 [2 per cell]
Nd3 0.0000 0.0000 0.4119 [2 per cell]
Cd1 0.5000 0.5000 0.1034 [2 per cell]
Cd2 0.5000 0.5000 0.3066 [2 per cell]
Pd1 0.5000 0.5000 0.5000 [1 per cell]



# 13
Density functional theory data (PBE-GGA) for a relaxed structure of SrAlOsO5.

Unit cell a=6.8918 b=9.1621 c=7.3308 alpha=90.00 beta=114.62 gamma=90.00
Space group C2/c (No. 15)
Unique sites:
Sr1 0.0000 0.1681 0.2500 [4 per cell]
Al1 0.0000 0.1900 0.7500 [4 per cell]
Os1 0.0000 0.5000 0.0000 [4 per cell]
O1 0.0000 0.4561 0.2500 [4 per cell]
O2 0.0958 0.2943 0.5993 [8 per cell]
O3 0.1974 0.0657 0.9067 [8 per cell]

Summary:
- Formation energy from raw total energies: -2.1432 eV/atom



# 14
Density functional theory data (PBE-GGA) for a relaxed structure of TbSm2Ho8.

Unit cell a=18.8031 b=6.9694 c=5.5566 alpha=90.00 beta=92.79 gamma=90.00
Space group C2/m (No. 12)
Unique sites:
Tb1 0.0000 0.0000 0.0000 [2 per cell]
Sm1 0.2160 0.5000 0.2514 [4 per cell]
Ho1 0.0460 0.5000 0.2365 [4 per cell]
Ho2 0.1300 0.2664 0.7333 [8 per cell]
Ho3 0.1857 0.0000 0.2335 [4 per cell]

Summary:
- Distance to the lowest polymorph of the same formula: 147 meV per atom



# 15
Density functional theory data (PBE-GGA) for a relaxed structure of SiTe2Pd.

Unit cell a=6.1266 b=6.1266 c=12.0497 alpha=90.00 beta=90.00 gamma=90.00
Space group I-42d (No. 122)
Unique sites:
Si1 0.0000 0.0000 0.0000 [4 per cell]
Te1 0.2491 0.2500 0.1250 [8 per cell]
Pd1 0.0000 0.0000 0.5000 [4 per cell]

Summary:
- Formation energy from raw total energies: -0.0238 eV/atom



# 16
Density functional theory data (PBE-GGA) for a relaxed structure of Li2CdCo.

Unit cell a=2.7766 b=2.7766 c=8.0032 alpha=90.00 beta=90.00 gamma=90.00
Space group P4/mmm (No. 123)
Unique sites:
Li1 0.0000 0.0000 0.2208 [2 per cell]
Cd1 0.5000 0.5000 0.5000 [1 per cell]
Co1 0.5000 0.5000 0.0000 [1 per cell]



# 17
Density functional theory data (PBE-GGA) for a relaxed structure of LiHfNpN3.

Unit cell a=6.6545 b=3.1876 c=6.9806 alpha=90.00 beta=103.41 gamma=90.00
Space group P2_1/m (No. 11)
Unique sites:
Li1 0.0879 0.2500 0.0813 [2 per cell]
Hf1 0.3213 0.7500 0.3415 [2 per cell]
Np1 0.2779 0.7500 0.8098 [2 per cell]
N1 0.0142 0.2500 0.7963 [2 per cell]
N2 0.3341 0.2500 0.5629 [2 per cell]
N3 0.3767 0.2500 0.1302 [2 per cell]

Summary:
- Formation energy from raw total energies: -1.0889 eV/atom



# 18
Density functional theory data (PBE-GGA) for a relaxed structure of Ba3Ca7Ga4.

Unit cell a=19.2782 b=5.2709 c=12.1382 alpha=90.00 beta=125.31 gamma=90.00
Space group C2/m (No. 12)
Unique sites:
Ba1 0.0000 0.0000 0.0000 [2 per cell]
Ba2 0.1929 0.5000 0.7065 [4 per cell]
Ca1 0.0000 0.0000 0.5000 [2 per cell]
Ca2 0.0074 0.5000 0.2758 [4 per cell]
Ca3 0.1697 0.0000 0.4186 [4 per cell]
Ca4 0.1914 0.5000 0.0339 [4 per cell]
Ga1 0.1084 0.0000 0.8290 [4 per cell]
Ga2 0.1695 0.5000 0.2733 [4 per cell]



# 19
Density functional theory data (PBE-GGA) for a relaxed structure of LiDyNi2.

Unit cell a=4.0846 b=4.0846 c=13.5507 alpha=90.00 beta=90.00 gamma=120.00
Space group R-3m (No. 166, hexagonal axes)
Unique sites:
Li1 0.0000 0.0000 0.0000 [3 per cell]
Dy1 0.0000 0.0000 0.5000 [3 per cell]
Ni1 0.0000 0.0000 0.2961 [6 per cell]

Summary:
- Distance to the lowest polymorph of the same formula: 0 meV per atom



# 20
Density functional theory data (PBE-GGA) for a relaxed structure of MgIn2P.

Unit cell a=3.1265 b=4.8808 c=6.0530 alpha=90.00 beta=103.09 gamma=90.00
Space group P2/m (No. 10)
Unique sites:
Mg1 0.0000 0.0000 0.0000 [1 per cell]
In1 0.3517 0.5000 0.7390 [2 per cell]
P1 0.0000 0.0000 0.5000 [1 per cell]

Summary:
- Distance to the lowest polymorph of the same formula: 268 meV per atom



Which total DFT energy (no corrections) belongs to each record? In order, -33.2 -34.1 -125.7 -76.8 -12.1 -25.2 -65.3 -49.8 -139.2 -14.6 -86.7 -36.7 -234.4 -97.7 -68.0 -11.3 -112.6 -70.3 -56.3 -11.9 eV per cell.